(w)
{
  "formula": "TiZn2Hg2",
  "functional": "PBE-GGA",
  "state": "relaxed",
  "spacegroup": "I4/mmm (139)",
  "cell": [[-3.1922, 0.7437, -1.1076], [0.8946, -0.9377, -3.2079], [-3.4720, -7.7163, -0.5783]],
  "species": ["Zn", "Zn", "Hg", "Hg", "Ti"],
  "fractional_positions": [[0.7500, 0.2500, 0.5000], [0.2500, 0.7500, 0.5000], [0.3955, 0.3955, 0.2091], [0.6045, 0.6045, 0.7909], [0.0000, 0.0000, 0.0000]]
}

***

(x)
{
  "formula": "TiZn2Hg2",
  "functional": "PBE-GGA",
  "state": "relaxed",
  "spacegroup": "P4/mbm (127)",
  "cell": [[-0.1351, -6.5885, -4.0965], [-2.1692, -3.9017, 6.3466], [-3.0444, 0.5132, -0.7250]],
  "species": ["Zn", "Zn", "Zn", "Zn", "Hg", "Hg", "Hg", "Hg", "Ti", "Ti"],
  "fractional_positions": [[0.1679, 0.6679, 0.5000], [0.6679, 0.8321, 0.5000], [0.8321, 0.3321, 0.5000], [0.3321, 0.1679, 0.5000], [0.3637, 0.8637, 0.0000], [0.8637, 0.6363, 0.0000], [0.6363, 0.1363, 0.0000], [0.1363, 0.3637, 0.0000], [0.0000, 0.0000, 0.0000], [0.5000, 0.5000, 0.0000]]
}

***

Relative stability in meV per atom, measured from the most stable structure: (w) 0; (x) 48

***

(w)
{
  "formula": "Zr2TiHg2",
  "functional": "PBE-GGA",
  "state": "relaxed",
  "spacegroup": "C2/m (12)",
  "cell": [[5.5347, -1.3113, 0.4763], [1.4593, 5.8654, 0.3987], [0.8357, 0.5088, 3.1556]],
  "species": ["Zr", "Zr", "Ti", "Hg", "Hg"],
  "fractional_positions": [[0.7939, 0.1135, 0.7960], [0.2061, 0.8865, 0.2040], [0.0000, 0.5000, 0.0000], [0.3707, 0.3093, 0.4101], [0.6293, 0.6907, 0.5899]]
}

***

(x)
{
  "formula": "Zr2TiHg2",
  "functional": "PBE-GGA",
  "state": "relaxed",
  "spacegroup": "P4/mbm (127)",
  "cell": [[-1.4671, 4.5611, 5.5531], [3.9599, -4.2164, 4.5093], [3.3245, 2.1622, -0.8977]],
  "species": ["Hg", "Hg", "Hg", "Hg", "Zr", "Zr", "Zr", "Zr", "Ti", "Ti"],
  "fractional_positions": [[0.3649, 0.8649, 0.0000], [0.8649, 0.6351, 0.0000], [0.6351, 0.1351, 0.0000], [0.1351, 0.3649, 0.0000], [0.1729, 0.6729, 0.5000], [0.6729, 0.8271, 0.5000], [0.8271, 0.3271, 0.5000], [0.3271, 0.1729, 0.5000], [0.0000, 0.0000, 0.0000], [0.5000, 0.5000, 0.0000]]
}

***

(y)
{
  "formula": "Zr2TiHg2",
  "functional": "PBE-GGA",
  "state": "relaxed",
  "spacegroup": "P4/mbm (127)",
  "cell": [[8.2277, 0.0000, 0.0000], [0.0000, 8.2277, 0.0000], [0.0000, 0.0000, 3.3223]],
  "species": ["Hg", "Hg", "Hg", "Hg", "Zr", "Zr", "Zr", "Zr", "Ti", "Ti"],
  "fractional_positions": [[0.1344, 0.6344, 0.5000], [0.6344, 0.8656, 0.5000], [0.8656, 0.3656, 0.5000], [0.3656, 0.1344, 0.5000], [0.3344, 0.8344, 0.0000], [0.8344, 0.6656, 0.0000], [0.6656, 0.1656, 0.0000], [0.1656, 0.3344, 0.0000], [0.0000, 0.0000, 0.0000], [0.5000, 0.5000, 0.0000]]
}

***

Relative stability in meV per atom, measured from the most stable structure: (w) 0; (x) 85; (y) 290

***

(w)
{
  "formula": "Tl3Hg5",
  "functional": "PBE-GGA",
  "state": "relaxed",
  "spacegroup": "P-1 (2)",
  "cell": [[9.7224, 0.0459, 1.5344], [-7.3726, 5.2697, -0.6898], [0.2319, -2.0466, 8.7498]],
  "species": ["Hg", "Hg", "Hg", "Hg", "Hg", "Hg", "Hg", "Hg", "Hg", "Hg", "Tl", "Tl", "Tl", "Tl", "Tl", "Tl"],
  "fractional_positions": [[0.2437, 0.6726, 0.4015], [0.7554, 0.3274, 0.5985], [0.7670, 0.0703, 0.8542], [0.2322, 0.9297, 0.1458], [0.7322, 0.5600, 0.3352], [0.2670, 0.4400, 0.6648], [0.7486, 0.4315, 0.9625], [0.2506, 0.5685, 0.0375], [0.2520, 0.3221, 0.2875], [0.7472, 0.6780, 0.7126], [0.7431, 0.8091, 0.0951], [0.2560, 0.1909, 0.9049], [0.2438, 0.0444, 0.5127], [0.7554, 0.9556, 0.4873], [0.2692, 0.8079, 0.7771], [0.7300, 0.1920, 0.2229]]
}

***

(x)
{
  "formula": "Tl3Hg5",
  "functional": "PBE-GGA",
  "state": "relaxed",
  "spacegroup": "I4/mcm (140)",
  "cell": [[-3.2343, -4.3638, 3.2480], [4.4962, -7.9914, -0.0938], [2.5488, 0.0777, 8.8083]],
  "species": ["Hg", "Hg", "Hg", "Hg", "Hg", "Hg", "Hg", "Hg", "Hg", "Hg", "Tl", "Tl", "Tl", "Tl", "Tl", "Tl"],
  "fractional_positions": [[0.7500, 0.5000, 0.5000], [0.2500, 0.5000, 0.5000], [0.4320, 0.8269, 0.3090], [0.5680, 0.1731, 0.6910], [0.9320, 0.3090, 0.8269], [0.0680, 0.6910, 0.1731], [0.2410, 0.8269, 0.6910], [0.7590, 0.1731, 0.3090], [0.2590, 0.3090, 0.1731], [0.7410, 0.6910, 0.8269], [0.7500, 0.0000, 0.0000], [0.2500, 0.0000, 0.0000], [0.3219, 0.5000, 0.8562], [0.6781, 0.5000, 0.1438], [0.8219, 0.8562, 0.5000], [0.1781, 0.1438, 0.5000]]
}

***

Relative stability in meV per atom, measured from the most stable structure: (w) 0; (x) 25

***

(w)
{
  "formula": "Tl3Hg5",
  "functional": "PBE-GGA",
  "state": "relaxed",
  "spacegroup": "I-4m2 (119)",
  "cell": [[-0.4549, 3.1379, -3.6833], [-2.0526, -3.4754, -2.7072], [-7.4308, 2.7496, 6.4666]],
  "species": ["Tl", "Tl", "Tl", "Hg", "Hg", "Hg", "Hg", "Hg"],
  "fractional_positions": [[0.1181, 0.1181, 0.2362], [0.8819, 0.8819, 0.7638], [0.2500, 0.7500, 0.5000], [0.6216, 0.6216, 0.2432], [0.0009, 0.5009, 0.0017], [0.3784, 0.3784, 0.7568], [0.7500, 0.2500, 0.5000], [0.4991, 0.9991, 0.9983]]
}

***

(x)
{
  "formula": "Tl3Hg5",
  "functional": "PBE-GGA",
  "state": "relaxed",
  "spacegroup": "Cmmm (65)",
  "cell": [[5.0946, 0.0000, 0.0000], [0.0000, 6.6707, -0.4922], [0.0000, 0.3558, 6.6793]],
  "species": ["Tl", "Tl", "Tl", "Hg", "Hg", "Hg", "Hg", "Hg"],
  "fractional_positions": [[0.0000, 0.5000, 0.5000], [0.5000, 0.7668, 0.2332], [0.5000, 0.2332, 0.7668], [0.0000, 0.0000, 0.0000], [0.0000, 0.0000, 0.5000], [0.0000, 0.5000, 0.0000], [0.5000, 0.2619, 0.2619], [0.5000, 0.7381, 0.7381]]
}

***

Relative stability in meV per atom, measured from the most stable structure: (w) 7; (x) 0

***

(w)
{
  "formula": "TlHg2",
  "functional": "PBE-GGA",
  "state": "relaxed",
  "spacegroup": "Pa-3 (205)",
  "cell": [[-2.9052, -6.7984, 0.2712], [4.9438, -2.3119, -4.9945], [4.6744, -1.7801, 5.4509]],
  "species": ["Tl", "Tl", "Tl", "Tl", "Hg", "Hg", "Hg", "Hg", "Hg", "Hg", "Hg", "Hg"],
  "fractional_positions": [[0.0000, 0.0000, 0.0000], [0.5000, 0.5000, 0.0000], [0.5000, 0.0000, 0.5000], [0.0000, 0.5000, 0.5000], [0.6207, 0.6207, 0.3793], [0.3793, 0.3793, 0.6207], [0.1207, 0.8793, 0.6207], [0.8793, 0.1207, 0.3793], [0.3793, 0.1207, 0.1207], [0.6207, 0.8793, 0.8793], [0.8793, 0.3793, 0.8793], [0.1207, 0.6207, 0.1207]]
}

***

(x)
{
  "formula": "TlHg2",
  "functional": "PBE-GGA",
  "state": "relaxed",
  "spacegroup": "Cmcm (63)",
  "cell": [[4.5746, 0.0000, -1.0999], [0.0000, 5.1593, 0.0000], [-0.6426, 0.0000, 7.3901]],
  "species": ["Tl", "Tl", "Hg", "Hg", "Hg", "Hg"],
  "fractional_positions": [[0.4132, 0.7500, 0.8265], [0.5868, 0.2500, 0.1735], [0.7475, 0.7500, 0.4950], [0.2525, 0.2500, 0.5050], [0.0883, 0.7500, 0.1766], [0.9117, 0.2500, 0.8234]]
}

***

Relative stability in meV per atom, measured from the most stable structure: (w) 116; (x) 0

***

(w)
{
  "formula": "Tl3Hg4",
  "functional": "PBE-GGA",
  "state": "relaxed",
  "spacegroup": "Immm (71)",
  "cell": [[-0.9730, -3.4975, 0.0074], [3.7035, -1.0268, 1.7032], [-6.5197, 3.7215, 11.2326]],
  "species": ["Tl", "Tl", "Tl", "Hg", "Hg", "Hg", "Hg"],
  "fractional_positions": [[0.8556, 0.3556, 0.7111], [0.0000, 0.5000, 0.0000], [0.1444, 0.6444, 0.2889], [0.7173, 0.2173, 0.4346], [0.2827, 0.7827, 0.5654], [0.4282, 0.9282, 0.8565], [0.5718, 0.0718, 0.1435]]
}

***

(x)
{
  "formula": "Tl3Hg4",
  "functional": "PBE-GGA",
  "state": "relaxed",
  "spacegroup": "P6/mmm (191)",
  "cell": [[-1.3218, 3.2436, 5.6189], [3.5784, -5.5688, 0.1553], [4.7869, 3.0582, -0.6393]],
  "species": ["Hg", "Hg", "Hg", "Hg", "Tl", "Tl", "Tl"],
  "fractional_positions": [[0.0000, 0.0000, 0.2535], [0.0000, 0.0000, 0.7465], [0.6667, 0.3333, 0.5000], [0.3333, 0.6667, 0.5000], [0.0000, 0.5000, 0.0000], [0.5000, 0.5000, 0.0000], [0.5000, 0.0000, 0.0000]]
}

***

Relative stability in meV per atom, measured from the most stable structure: (w) 0; (x) 74